1.
Tb3Ho2In: relaxed, PBE-GGA.

Values from the calculation:
total energy	-3.893	eV per atom

a = 6.349 Å, b = 6.349 Å, c = 5.679 Å
α = 90.00°, β = 90.00°, γ = 120.00°
Element x y z (fractional)
Tb: 0.000 0.500 0.000
Tb: 0.500 0.000 0.000
Tb: 0.500 0.500 0.000
Ho: 0.333 0.667 0.500
Ho: 0.667 0.333 0.500
In: 0.000 0.000 0.500

=====

2.
DyAlHg2: relaxed, PBE-GGA.

Values from the calculation:
total energy	-2.546	eV per atom

a = 4.871 Å, b = 6.528 Å, c = 6.528 Å
α = 120.21°, β = 90.00°, γ = 90.00°
Element x y z (fractional)
Dy: 0.250 0.166 0.834
Dy: 0.750 0.834 0.166
Al: 0.250 0.666 0.809
Al: 0.750 0.809 0.666
Hg: 0.250 0.171 0.338
Hg: 0.250 0.679 0.352
Hg: 0.750 0.338 0.171
Hg: 0.750 0.352 0.679

=====

3.
ZnSn2Pt: relaxed, PBE-GGA.

Values from the calculation:
total energy	-3.772	eV per atom

a = 4.876 Å, b = 4.876 Å, c = 4.876 Å
α = 60.00°, β = 60.00°, γ = 60.00°
Element x y z (fractional)
Zn: 0.000 0.000 0.000
Sn: 0.250 0.250 0.250
Sn: 0.500 0.500 0.500
Pt: 0.750 0.750 0.750

=====

4.
Bi14PdBr16: relaxed, PBE-GGA.

Values from the calculation:
total energy	-3.367	eV per atom

a = 11.016 Å, b = 11.170 Å, c = 11.267 Å
α = 118.43°, β = 108.57°, γ = 91.98°
Element x y z (fractional)
Bi: 0.006 0.309 0.203
Bi: 0.013 0.804 0.592
Bi: 0.138 0.436 0.736
Bi: 0.168 0.617 0.398
Bi: 0.250 0.396 0.495
Bi: 0.346 0.896 0.284
Bi: 0.381 0.163 0.030
Bi: 0.619 0.837 0.970
Bi: 0.654 0.104 0.716
Bi: 0.750 0.604 0.505
Bi: 0.832 0.383 0.602
Bi: 0.862 0.564 0.264
Bi: 0.987 0.196 0.408
Bi: 0.994 0.691 0.797
Pd: 0.000 0.500 0.500
Br: 0.140 0.176 0.865
Br: 0.165 0.641 0.100
Br: 0.198 0.973 0.453
Br: 0.206 0.013 0.111
Br: 0.373 0.885 0.795
Br: 0.426 0.423 0.284
Br: 0.479 0.713 0.066
Br: 0.493 0.807 0.480
Br: 0.507 0.193 0.520
Br: 0.521 0.287 0.934
Br: 0.574 0.577 0.716
Br: 0.627 0.115 0.205
Br: 0.794 0.987 0.889
Br: 0.802 0.027 0.547
Br: 0.835 0.359 0.900
Br: 0.860 0.824 0.135

=====

5.
Nd2Mg4AgIr: relaxed, PBE-GGA.

Values from the calculation:
total energy	-3.761	eV per atom

a = 8.333 Å, b = 5.661 Å, c = 5.661 Å
α = 44.59°, β = 90.00°, γ = 90.00°
Element x y z (fractional)
Nd: 0.000 0.000 0.000
Nd: 0.500 0.126 0.126
Mg: 0.205 0.710 0.710
Mg: 0.313 0.408 0.408
Mg: 0.687 0.408 0.408
Mg: 0.795 0.710 0.710
Ag: 0.000 0.288 0.288
Ir: 0.500 0.831 0.831

=====

6.
La2Zr: relaxed, PBE-GGA.

Values from the calculation:
total energy	-4.467	eV per atom
ΔH_f (0 K)	1.6638	eV/atom
energy above the most stable polymorph in this dataset	1091	meV per atom

a = 8.765 Å, b = 8.765 Å, c = 8.765 Å
α = 60.00°, β = 60.00°, γ = 60.00°
Element x y z (fractional)
La: 0.000 0.000 0.000
La: 0.000 0.000 0.500
La: 0.000 0.500 0.000
La: 0.500 0.000 0.000
Zr: 0.125 0.125 0.125
Zr: 0.875 0.875 0.875

=====

7.
Y2HfB6: relaxed, PBE-GGA.

Values from the calculation:
total energy	-7.573	eV per atom

a = 9.460 Å, b = 11.771 Å, c = 3.764 Å
α = 90.00°, β = 90.00°, γ = 90.00°
Element x y z (fractional)
Y: 0.057 0.127 0.000
Y: 0.183 0.411 0.000
Y: 0.317 0.911 0.000
Y: 0.443 0.627 0.000
Y: 0.557 0.373 0.000
Y: 0.683 0.089 0.000
Y: 0.817 0.589 0.000
Y: 0.943 0.873 0.000
Hf: 0.139 0.678 0.000
Hf: 0.361 0.178 0.000
Hf: 0.639 0.822 0.000
Hf: 0.861 0.322 0.000
B: 0.025 0.290 0.500
B: 0.049 0.563 0.500
B: 0.102 0.971 0.500
B: 0.131 0.818 0.500
B: 0.205 0.238 0.500
B: 0.247 0.076 0.500
B: 0.253 0.576 0.500
B: 0.295 0.738 0.500
B: 0.369 0.318 0.500
B: 0.398 0.471 0.500
B: 0.451 0.063 0.500
B: 0.475 0.790 0.500
B: 0.525 0.210 0.500
B: 0.549 0.937 0.500
B: 0.602 0.529 0.500
B: 0.631 0.682 0.500
B: 0.705 0.262 0.500
B: 0.747 0.424 0.500
B: 0.753 0.924 0.500
B: 0.795 0.762 0.500
B: 0.869 0.182 0.500
B: 0.898 0.029 0.500
B: 0.951 0.437 0.500
B: 0.975 0.710 0.500

=====

8.
LuCuGeTe3: relaxed, PBE-GGA.

Values from the calculation:
total energy	-4.207	eV per atom
energy above the most stable polymorph in this dataset	37	meV per atom

a = 8.861 Å, b = 4.305 Å, c = 17.411 Å
α = 90.00°, β = 90.00°, γ = 90.00°
Element x y z (fractional)
Lu: 0.228 0.250 0.042
Lu: 0.272 0.750 0.542
Lu: 0.728 0.250 0.458
Lu: 0.772 0.750 0.958
Cu: 0.122 0.250 0.367
Cu: 0.378 0.750 0.867
Cu: 0.622 0.250 0.133
Cu: 0.878 0.750 0.633
Ge: 0.092 0.250 0.748
Ge: 0.408 0.750 0.248
Ge: 0.592 0.250 0.752
Ge: 0.908 0.750 0.252
Te: 0.028 0.250 0.591
Te: 0.120 0.750 0.936
Te: 0.200 0.250 0.222
Te: 0.300 0.750 0.722
Te: 0.380 0.250 0.436
Te: 0.472 0.750 0.091
Te: 0.528 0.250 0.909
Te: 0.620 0.750 0.564
Te: 0.700 0.250 0.278
Te: 0.800 0.750 0.778
Te: 0.880 0.250 0.064
Te: 0.972 0.750 0.409

=====

9.
HfZr2Zn2: relaxed, PBE-GGA.

Values from the calculation:
total energy	-5.846	eV per atom
ΔH_f (0 K)	0.0694	eV/atom

a = 6.723 Å, b = 6.723 Å, c = 6.723 Å
α = 144.83°, β = 144.83°, γ = 50.59°
Element x y z (fractional)
Hf: 0.000 0.000 0.000
Zr: 0.250 0.750 0.500
Zr: 0.750 0.250 0.500
Zn: 0.406 0.406 0.000
Zn: 0.594 0.594 0.000

=====

10.
Rb2Sm2O5: relaxed, PBE-GGA.

Values from the calculation:
total energy	-6.126	eV per atom
energy above the most stable polymorph in this dataset	0	meV per atom

a = 4.412 Å, b = 4.412 Å, c = 9.367 Å
α = 90.00°, β = 90.00°, γ = 90.00°
Element x y z (fractional)
Rb: 0.000 0.000 0.000
Rb: 0.000 0.000 0.500
Sm: 0.500 0.500 0.232
Sm: 0.500 0.500 0.768
O: 0.000 0.500 0.291
O: 0.000 0.500 0.709
O: 0.500 0.000 0.291
O: 0.500 0.000 0.709
O: 0.500 0.500 0.000

=====

11.
YGaCuRe: relaxed, PBE-GGA.

Values from the calculation:
total energy	-6.148	eV per atom
energy above the most stable polymorph in this dataset	0	meV per atom

a = 4.604 Å, b = 4.604 Å, c = 4.604 Å
α = 60.00°, β = 60.00°, γ = 60.00°
Element x y z (fractional)
Y: 0.000 0.000 0.000
Ga: 0.500 0.500 0.500
Cu: 0.750 0.750 0.750
Re: 0.250 0.250 0.250

=====

12.
LuTlFeRe: relaxed, PBE-GGA.

Values from the calculation:
total energy	-6.273	eV per atom
energy above the most stable polymorph in this dataset	59	meV per atom

a = 4.652 Å, b = 4.652 Å, c = 4.652 Å
α = 60.00°, β = 60.00°, γ = 60.00°
Element x y z (fractional)
Lu: 0.000 0.000 0.000
Tl: 0.500 0.500 0.500
Fe: 0.750 0.750 0.750
Re: 0.250 0.250 0.250

=====

13.
LiSmTl: relaxed, PBE-GGA.

Values from the calculation:
total energy	-3.068	eV per atom
energy above the most stable polymorph in this dataset	0	meV per atom

a = 4.765 Å, b = 4.765 Å, c = 4.765 Å
α = 60.00°, β = 60.00°, γ = 60.00°
Element x y z (fractional)
Li: 0.000 0.000 0.000
Sm: 0.750 0.750 0.750
Tl: 0.250 0.250 0.250

=====

14.
CsGd2CuTeS3: relaxed, PBE-GGA.

Values from the calculation:
total energy	-5.157	eV per atom
energy above the most stable polymorph in this dataset	62	meV per atom

a = 7.548 Å, b = 7.548 Å, c = 14.354 Å
α = 90.00°, β = 90.00°, γ = 148.07°
Element x y z (fractional)
Cs: 0.130 0.870 0.750
Cs: 0.870 0.130 0.250
Gd: 0.367 0.633 0.549
Gd: 0.367 0.633 0.951
Gd: 0.633 0.367 0.049
Gd: 0.633 0.367 0.451
Cu: 0.169 0.831 0.250
Cu: 0.831 0.169 0.750
Te: 0.435 0.565 0.750
Te: 0.565 0.435 0.250
S: 0.000 0.000 0.000
S: 0.000 0.000 0.500
S: 0.248 0.752 0.104
S: 0.248 0.752 0.396
S: 0.752 0.248 0.604
S: 0.752 0.248 0.896

=====

15.
ErFeAu: relaxed, PBE-GGA.

Values from the calculation:
total energy	-4.962	eV per atom
ΔH_f (0 K)	0.4177	eV/atom

a = 4.622 Å, b = 4.622 Å, c = 4.622 Å
α = 60.00°, β = 60.00°, γ = 60.00°
Element x y z (fractional)
Er: 0.000 0.000 0.000
Fe: 0.250 0.250 0.250
Au: 0.750 0.750 0.750

=====

16.
NdSnS2: relaxed, PBE-GGA.

Values from the calculation:
total energy	-5.411	eV per atom

a = 5.817 Å, b = 11.498 Å, c = 5.763 Å
α = 90.00°, β = 94.43°, γ = 90.00°
Element x y z (fractional)
Nd: 0.040 0.122 0.252
Nd: 0.040 0.378 0.752
Nd: 0.960 0.622 0.248
Nd: 0.960 0.878 0.748
Sn: 0.437 0.612 0.710
Sn: 0.437 0.888 0.210
Sn: 0.563 0.112 0.790
Sn: 0.563 0.388 0.290
S: 0.092 0.125 0.757
S: 0.092 0.375 0.257
S: 0.452 0.649 0.173
S: 0.452 0.851 0.673
S: 0.548 0.149 0.327
S: 0.548 0.351 0.827
S: 0.908 0.625 0.743
S: 0.908 0.875 0.243

=====

17.
NdZrBi: relaxed, PBE-GGA.

Values from the calculation:
total energy	-5.860	eV per atom

a = 5.096 Å, b = 5.096 Å, c = 5.096 Å
α = 60.00°, β = 60.00°, γ = 60.00°
Element x y z (fractional)
Nd: 0.000 0.000 0.000
Zr: 0.500 0.500 0.500
Bi: 0.250 0.250 0.250

=====

18.
TbTaSi: relaxed, PBE-GGA.

Values from the calculation:
total energy	-7.246	eV per atom

a = 4.535 Å, b = 4.535 Å, c = 4.535 Å
α = 60.00°, β = 60.00°, γ = 60.00°
Element x y z (fractional)
Tb: 0.000 0.000 0.000
Ta: 0.500 0.500 0.500
Si: 0.750 0.750 0.750

=====

19.
GdTaN2O: relaxed, PBE-GGA.

Values from the calculation:
total energy	-9.586	eV per atom

a = 7.914 Å, b = 7.918 Å, c = 7.971 Å
α = 89.99°, β = 88.39°, γ = 89.89°
Element x y z (fractional)
Gd: 0.018 0.252 0.035
Gd: 0.034 0.249 0.516
Gd: 0.459 0.750 0.983
Gd: 0.479 0.752 0.473
Gd: 0.521 0.248 0.527
Gd: 0.541 0.250 0.017
Gd: 0.966 0.751 0.484
Gd: 0.982 0.748 0.965
Ta: 0.239 0.495 0.755
Ta: 0.248 0.491 0.259
Ta: 0.254 0.012 0.754
Ta: 0.261 0.008 0.243
Ta: 0.739 0.992 0.757
Ta: 0.746 0.988 0.246
Ta: 0.752 0.509 0.741
Ta: 0.761 0.505 0.245
N: 0.000 0.447 0.296
N: 0.000 0.553 0.704
N: 0.181 0.249 0.785
N: 0.201 0.942 0.003
N: 0.214 0.555 0.000
N: 0.286 0.044 0.502
N: 0.291 0.252 0.192
N: 0.302 0.452 0.500
N: 0.499 0.053 0.795
N: 0.501 0.947 0.205
N: 0.698 0.548 0.500
N: 0.709 0.748 0.808
N: 0.714 0.956 0.498
N: 0.786 0.445 0.000
N: 0.799 0.058 0.997
N: 0.819 0.751 0.215
O: 0.001 0.933 0.708
O: 0.212 0.752 0.322
O: 0.325 0.746 0.718
O: 0.499 0.568 0.208
O: 0.501 0.432 0.792
O: 0.675 0.254 0.282
O: 0.788 0.248 0.678
O: 0.999 0.067 0.292

=====

20.
ErHgMo: relaxed, PBE-GGA.

Values from the calculation:
total energy	-4.497	eV per atom
ΔH_f (0 K)	0.7390	eV/atom

a = 4.752 Å, b = 4.752 Å, c = 4.752 Å
α = 60.00°, β = 60.00°, γ = 60.00°
Element x y z (fractional)
Er: 0.000 0.000 0.000
Hg: 0.250 0.250 0.250
Mo: 0.500 0.500 0.500

=====

21.
DyNbAg2Te4: relaxed, PBE-GGA.

Values from the calculation:
total energy	-4.588	eV per atom

a = 6.891 Å, b = 6.891 Å, c = 4.624 Å
α = 90.00°, β = 90.00°, γ = 90.10°
Element x y z (fractional)
Dy: 0.000 0.000 0.000
Nb: 0.500 0.500 0.400
Ag: 0.000 0.500 0.190
Ag: 0.500 0.000 0.190
Te: 0.209 0.791 0.496
Te: 0.314 0.314 0.907
Te: 0.686 0.686 0.907
Te: 0.791 0.209 0.496